Record 1
Here is a relaxed structure of BeNbCo from the Alexandria database. Energies are from PBE.

Cell: 2.540 2.540 6.995 Å, 100.46 100.46 90.00°
Last column: magnetic moment on the atom in μB.
Atoms (fractional coordinates):
Be1 0.457 0.457 0.913  -0.01
Nb1 0.101 0.101 0.202  -0.03
Co1 0.292 0.292 0.585  1.56

Space-group type   I4mm (107)
Energy of formation from the pure elements   0.70 eV per atom

Record 2
Here is a relaxed structure of Rh3WN from the Alexandria database. Energies are from PBE.

Cell: 4.074 4.074 4.074 Å, 90.00 90.00 90.00°
Last column: magnetic moment on the atom in μB.
Atoms (fractional coordinates):
Rh1 0.000 0.500 0.000  0.06
Rh2 0.000 0.000 0.500  0.10
Rh3 0.500 0.000 0.000  0.08
W1 0.500 0.500 0.500  1.13
N1 0.000 0.000 0.000  -0.01

Energy relative to the elements, uncorrected   0.54 eV/atom
Space-group type   Pm-3m (221)